## YTa2Rh (PBE)

Data for a geometry-optimized YTa2Rh structure.

abc: 9.474 9.474 9.474
angles: 19.04 19.04 19.04
Fractional coordinates of all 4 atoms:
1 Rh 0.741 0.741 0.741
2 Ta 0.005 0.005 0.005
3 Ta 0.258 0.258 0.258
4 Y 0.496 0.496 0.496

Computed properties:
- E_form (eV per atom) = 0.059
- total DFT energy (no corrections) (eV/cell) = -37.285
- offset from the most stable computed form (meV per atom) = 212
- symmetry = R3m, No. 160

---

## YTa2Rh (PBE)

Data for a geometry-optimized YTa2Rh structure.

abc: 4.748 4.748 4.748
angles: 60.00 60.00 60.00
Fractional coordinates of all 4 atoms:
1 Rh 0.500 0.500 0.500
2 Ta 0.000 0.000 0.000
3 Ta 0.250 0.250 0.250
4 Y 0.750 0.750 0.750

Computed properties:
- E_form (eV per atom) = 0.049
- total DFT energy (no corrections) (eV/cell) = -37.326
- offset from the most stable computed form (meV per atom) = 202
- symmetry = F-43m, No. 216

---

## Y2TaRh (PBE)

Data for a geometry-optimized Y2TaRh structure.

abc: 5.795 5.795 5.005
angles: 64.41 64.41 36.00
Fractional coordinates of all 4 atoms:
1 Rh 0.750 0.750 0.750
2 Ta 0.250 0.250 0.250
3 Y 0.036 0.036 0.964
4 Y 0.464 0.464 0.536

Computed properties:
- E_form (eV per atom) = 0.052
- total DFT energy (no corrections) (eV/cell) = -31.923
- offset from the most stable computed form (meV per atom) = 250
- symmetry = Immm, No. 71

---

## Y2Ta2Rh (PBE)

Data for a geometry-optimized Y2Ta2Rh structure.

abc: 3.658 3.658 9.344
angles: 78.71 78.71 90.00
Fractional coordinates of all 5 atoms:
1 Y 0.409 0.409 0.181
2 Y 0.591 0.591 0.819
3 Rh 0.000 0.000 0.000
4 Ta 0.750 0.250 0.500
5 Ta 0.250 0.750 0.500

Computed properties:
- E_form (eV per atom) = 0.271
- total DFT energy (no corrections) (eV/cell) = -42.631
- offset from the most stable computed form (meV per atom) = 0
- symmetry = I4/mmm, No. 139

---

## YTaRh2 (PBE)

Data for a geometry-optimized YTaRh2 structure.

abc: 5.322 5.322 5.322
angles: 48.69 48.69 48.69
Fractional coordinates of all 4 atoms:
1 Rh 0.969 0.969 0.969
2 Rh 0.531 0.531 0.531
3 Ta 0.250 0.250 0.250
4 Y 0.750 0.750 0.750

Computed properties:
- E_form (eV per atom) = -0.495
- total DFT energy (no corrections) (eV/cell) = -34.999
- symmetry = R-3m, No. 166

---

## Y3TaRh (PBE)

Data for a geometry-optimized Y3TaRh structure.

abc: 5.314 5.314 5.314
angles: 90.00 90.00 90.00
Fractional coordinates of all 5 atoms:
1 Y 0.000 0.500 0.000
2 Y 0.000 0.000 0.500
3 Y 0.500 0.000 0.000
4 Rh 0.500 0.500 0.500
5 Ta 0.000 0.000 0.000

Computed properties:
- E_form (eV per atom) = 0.935
- total DFT energy (no corrections) (eV/cell) = -33.919
- offset from the most stable computed form (meV per atom) = 538
- symmetry = Pm-3m, No. 221

---

## YTaRh2 (PBE)

Data for a geometry-optimized YTaRh2 structure.

abc: 3.512 3.512 6.284
angles: 90.00 90.00 90.00
Fractional coordinates of all 4 atoms:
1 Rh 0.000 0.000 0.009
2 Rh 0.500 0.500 0.283
3 Ta 0.000 0.000 0.417
4 Y 0.500 0.500 0.791

Computed properties:
- E_form (eV per atom) = -0.276
- total DFT energy (no corrections) (eV/cell) = -34.123
- symmetry = P4mm, No. 99

---

## Y2TaRh (PBE)

Data for a geometry-optimized Y2TaRh structure.

abc: 9.807 9.807 9.807
angles: 19.95 19.95 19.95
Fractional coordinates of all 4 atoms:
1 Rh 0.491 0.491 0.491
2 Ta 0.766 0.766 0.766
3 Y 0.010 0.010 0.010
4 Y 0.233 0.233 0.233

Computed properties:
- E_form (eV per atom) = 0.041
- total DFT energy (no corrections) (eV/cell) = -31.969
- offset from the most stable computed form (meV per atom) = 238
- symmetry = R3m, No. 160

---

## Y2Ta2Rh (PBE)

Data for a geometry-optimized Y2Ta2Rh structure.

abc: 6.966 6.966 4.845
angles: 90.00 90.00 90.00
Fractional coordinates of all 10 atoms:
1 Y 0.340 0.840 0.000
2 Y 0.840 0.660 0.000
3 Y 0.660 0.160 0.000
4 Y 0.160 0.340 0.000
5 Rh 0.000 0.000 0.000
6 Rh 0.500 0.500 0.000
7 Ta 0.136 0.636 0.500
8 Ta 0.636 0.864 0.500
9 Ta 0.864 0.364 0.500
10 Ta 0.364 0.136 0.500

Computed properties:
- E_form (eV per atom) = 0.584
- total DFT energy (no corrections) (eV/cell) = -82.130
- offset from the most stable computed form (meV per atom) = 313
- symmetry = P4/mbm, No. 127

---

## Y2TaRh (PBE)

Data for a geometry-optimized Y2TaRh structure.

abc: 3.265 3.265 8.763
angles: 90.00 90.00 90.00
Fractional coordinates of all 4 atoms:
1 Rh 0.000 0.000 0.541
2 Ta 0.500 0.500 0.699
3 Y 0.000 0.000 0.950
4 Y 0.500 0.500 0.309

Computed properties:
- E_form (eV per atom) = -0.197
- total DFT energy (no corrections) (eV/cell) = -32.921
- offset from the most stable computed form (meV per atom) = 0
- symmetry = P4mm, No. 99

---

## YTa2Rh2 (PBE)

Data for a geometry-optimized YTa2Rh2 structure.

abc: 4.573 4.573 5.956
angles: 67.42 67.42 90.00
Fractional coordinates of all 5 atoms:
1 Y 0.000 0.000 0.000
2 Rh 0.750 0.250 0.500
3 Rh 0.250 0.750 0.500
4 Ta 0.364 0.364 0.272
5 Ta 0.636 0.636 0.728

Computed properties:
- E_form (eV per atom) = -0.121
- total DFT energy (no corrections) (eV/cell) = -45.475
- offset from the most stable computed form (meV per atom) = 304
- symmetry = I4/mmm, No. 139

---

## YTa2Rh (PBE)

Data for a geometry-optimized YTa2Rh structure.

abc: 2.966 4.789 5.472
angles: 90.00 90.00 90.00
Fractional coordinates of all 4 atoms:
1 Rh 0.500 0.500 0.750
2 Ta 0.000 0.000 0.996
3 Ta 0.000 0.000 0.504
4 Y 0.500 0.500 0.250

Computed properties:
- E_form (eV per atom) = 0.220
- total DFT energy (no corrections) (eV/cell) = -36.641
- offset from the most stable computed form (meV per atom) = 373
- symmetry = Pmmm, No. 47